Entry 1:
Material: TbDyAl6
Method: DFT, PBE
State: optimized geometry

```
TbDyAl6
1.0
-4.139 -1.288 -1.719
1.691 2.092 -5.642
1.175 -5.924 1.612
Tb Al Dy
1 6 1
direct
0.500 0.416 0.584
0.000 0.603 0.397
0.000 0.043 0.396
0.000 0.604 0.957
0.500 0.897 0.544
0.500 0.456 0.103
0.500 0.897 0.103
0.000 0.084 0.916
```

Its formation energy is -0.44 eV/atom. Its space-group type is P-6m2, No. 187. For the calculated volume, the calculation gives 19.7 Å³/atom. For the energy above the most stable polymorph in this dataset, the calculation gives 0.00 kcal/mol of atoms. Its crystal system is hexagonal. The value obtained for the total energy is -4.3962 eV per atom.

Entry 2:
Material: TbInTeSe
Method: DFT, PBE
State: optimized geometry

```
TbInTeSe
1.0
4.297 0.000 -0.001
-2.148 3.721 0.001
-2.148 -1.239 8.072
Se Te Tb In
1 1 1 1
direct
0.506 0.151 0.672
0.118 0.957 0.090
0.291 0.544 0.850
0.963 0.379 0.358
```

The uncorrected formation energy comes out at -1.1191 eV/atom. Its space-group type is R3m, No. 160. For the calculated volume, the calculation gives 32.3 Å³/atom. Its crystal system is trigonal. The value obtained for the total energy is -4.6179 eV per atom.

Entry 3:
Material: Si2TeAs2
Method: DFT, PBE
State: optimized geometry

```
Si2TeAs2
1.0
-0.634 -2.952 2.737
3.825 -1.306 -0.523
3.624 1.889 5.910
As Te Si
2 1 2
direct
0.369 0.369 0.262
0.631 0.631 0.738
0.000 0.000 0.000
0.750 0.250 0.500
0.250 0.750 0.500
```

The uncorrected formation energy comes out at 0.3486 eV/atom. Its space-group type is I4/mmm, No. 139. For the calculated volume, the calculation gives 21.9 Å³/atom. For the energy above the most stable polymorph in this dataset, the calculation gives 2.24 kcal/mol of atoms. Its crystal system is tetragonal. The value obtained for the total energy is -4.3088 eV per atom.

Entry 4:
Material: RbSb2Pt
Method: DFT, PBE
State: optimized geometry

```
RbSb2Pt
1.0
8.525 0.000 0.000
0.000 8.525 0.000
4.262 4.262 3.393
Pt Sb Rb
2 4 2
direct
0.750 0.250 0.500
0.000 0.000 0.000
0.375 0.283 0.750
0.875 0.967 0.750
0.033 0.625 0.250
0.717 0.125 0.250
0.250 0.750 0.500
0.500 0.500 0.000
```

The uncorrected formation energy comes out at -0.2063 eV/atom. Its space-group type is I-42d, No. 122. For the calculated volume, the calculation gives 30.8 Å³/atom. For the energy above the most stable polymorph in this dataset, the calculation gives 6.14 kcal/mol of atoms. Its crystal system is tetragonal. The value obtained for the total energy is -4.0196 eV per atom.

Entry 5:
Material: PmEr2Zn3
Method: DFT, PBE
State: optimized geometry

```
PmEr2Zn3
1.0
-2.108 2.869 -0.320
-2.501 -1.618 1.975
4.339 4.182 8.920
Pm Zn Er
1 3 2
direct
0.500 0.500 0.500
0.000 0.000 0.679
0.000 0.000 0.321
0.000 0.000 0.000
0.500 0.500 0.837
0.500 0.500 0.163
```

Its formation energy is -0.33 eV/atom. Its space-group type is P4/mmm, No. 123. For the calculated volume, the calculation gives 22.9 Å³/atom. Its crystal system is tetragonal. The value obtained for the total energy is -3.2815 eV per atom.

Entry 6:
Material: DyEr3Tm2Te6
Method: DFT, PBE
State: optimized geometry

```
DyEr3Tm2Te6
1.0
-0.957 -4.191 0.036
8.148 -1.879 -2.309
0.775 2.108 9.402
Te Tm Er Dy
6 2 3 1
direct
0.332 0.418 0.664
0.669 0.084 0.337
0.331 0.916 0.663
0.668 0.582 0.336
0.999 0.747 0.998
0.001 0.253 0.002
0.165 0.330 0.330
0.835 0.670 0.670
0.500 0.500 0.000
0.836 0.168 0.672
0.164 0.832 0.328
0.500 0.000 0.000
```

The uncorrected formation energy comes out at -1.2072 eV/atom. Its space-group type is C2/m, No. 12. For the calculated volume, the calculation gives 28.5 Å³/atom. Its crystal system is monoclinic. The value obtained for the total energy is -5.0475 eV per atom.

Entry 7:
Material: LaHg2Se
Method: DFT, PBE
State: optimized geometry

```
LaHg2Se
1.0
5.401 0.004 0.007
3.646 3.985 0.007
1.874 0.826 5.451
Hg Se La
2 1 1
direct
0.248 0.248 0.217
0.992 0.992 0.045
0.777 0.777 0.634
0.482 0.482 0.604
```

The uncorrected formation energy comes out at -0.7782 eV/atom. Its space-group type is Cm, No. 8. For the calculated volume, the calculation gives 29.3 Å³/atom. Its crystal system is monoclinic. The value obtained for the total energy is -3.0321 eV per atom.

Entry 8:
Material: KPuAgBr6
Method: DFT, PBE
State: optimized geometry

```
KPuAgBr6
1.0
-0.690 3.309 -6.444
-5.674 -3.496 2.921
-4.129 12.380 6.799
Pu Ag K Br
2 2 2 12
direct
0.667 0.333 0.250
0.333 0.667 0.750
0.667 0.333 0.750
0.333 0.667 0.250
0.000 0.000 0.000
0.000 0.000 0.500
0.013 0.645 0.861
0.632 0.987 0.861
0.645 0.013 0.361
0.645 0.632 0.139
0.987 0.632 0.361
0.987 0.355 0.139
0.355 0.987 0.639
0.368 0.355 0.361
0.632 0.645 0.639
0.368 0.013 0.139
0.355 0.368 0.861
0.013 0.368 0.639
```

The uncorrected formation energy comes out at -1.1898 eV/atom. Its space-group type is P-31c, No. 163. For the calculated volume, the calculation gives 37.5 Å³/atom. Its crystal system is trigonal. The value obtained for the total energy is -4.3362 eV per atom.

Among the records above, which one has the lowest total energy?
DyEr3Tm2Te6

calculated volume of number 7 (LaHg2Se)?
29.3 Å³/atom